No. 1
Material: YMnIrPd
Method: DFT, PBE-GGA
State: optimized geometry

Summary:
space-group type = F-43m
formation enthalpy at 0 K = -0.43 eV per atom

Unit cell a=4.662 b=4.662 c=4.662 alpha=60.00 beta=60.00 gamma=60.00
Element x y z (fractional)
Y: 0.750 0.750 0.750
Mn: 0.250 0.250 0.250
Ir: 0.000 0.000 0.000
Pd: 0.500 0.500 0.500

***

No. 2
Material: LiYAs2
Method: DFT, PBE-GGA
State: optimized geometry

Summary:
distance to the lowest polymorph of the same formula = 103 meV/atom
space-group type = Cmmm
formation enthalpy at 0 K = -0.75 eV per atom

Unit cell a=3.671 b=3.671 c=6.197 alpha=90.00 beta=90.00 gamma=99.85
Element x y z (fractional)
As: 0.000 0.000 0.022
As: 0.000 0.000 0.478
Li: 0.500 0.500 0.250
Y: 0.500 0.500 0.750

***

No. 3
Material: La3Y2Tm5
Method: DFT, PBE-GGA
State: optimized geometry

Summary:
space-group type = C2/c
formation enthalpy at 0 K = 0.20 eV per atom

Unit cell a=9.425 b=9.408 c=11.179 alpha=124.94 beta=124.97 gamma=68.88
Element x y z (fractional)
La: 0.235 0.985 0.970
La: 0.765 0.015 0.030
La: 0.730 0.473 0.249
La: 0.270 0.527 0.751
La: 0.019 0.776 0.249
La: 0.981 0.224 0.751
Y: 0.766 0.012 0.732
Y: 0.234 0.988 0.268
Y: 0.466 0.719 0.732
Y: 0.534 0.281 0.268
Tm: 0.273 0.523 0.046
Tm: 0.727 0.477 0.954
Tm: 0.025 0.775 0.549
Tm: 0.529 0.279 0.558
Tm: 0.975 0.225 0.451
Tm: 0.471 0.721 0.442
Tm: 0.851 0.602 0.723
Tm: 0.149 0.398 0.277
Tm: 0.372 0.120 0.723
Tm: 0.628 0.880 0.277

***

No. 4
Material: K2TiBr4
Method: DFT, PBE-GGA
State: optimized geometry

Summary:
distance to the lowest polymorph of the same formula = 0 meV/atom
space-group type = I4/mmm
formation energy (no corrections) = -1.3924 eV/atom

Unit cell a=5.277 b=5.277 c=9.150 alpha=73.24 beta=73.24 gamma=90.00
Element x y z (fractional)
K: 0.359 0.359 0.282
K: 0.641 0.641 0.718
Br: 0.163 0.163 0.675
Br: 0.837 0.837 0.325
Br: 0.000 0.500 0.000
Br: 0.500 0.000 0.000
Ti: 0.000 0.000 0.000

***

No. 5
Material: FeIr8Os2
Method: DFT, PBE-GGA
State: optimized geometry

Summary:
space-group type = Immm
formation enthalpy at 0 K = 0.20 eV per atom

Unit cell a=3.934 b=7.272 c=7.114 alpha=120.74 beta=106.05 gamma=90.00
Element x y z (fractional)
Ir: 0.658 0.893 0.316
Ir: 0.342 0.577 0.684
Ir: 0.158 0.158 0.315
Ir: 0.000 0.296 0.000
Ir: 0.842 0.842 0.685
Ir: 0.658 0.423 0.316
Ir: 0.342 0.107 0.684
Ir: 0.000 0.704 0.000
Os: 0.188 0.688 0.376
Os: 0.812 0.312 0.624
Fe: 0.500 0.000 0.000

***

No. 6
Material: V2H2Rh
Method: DFT, PBE-GGA
State: optimized geometry

Summary:
distance to the lowest polymorph of the same formula = 0 meV/atom
space-group type = C2/c

Unit cell a=4.905 b=5.280 c=4.797 alpha=61.84 beta=59.28 gamma=62.31
Element x y z (fractional)
V: 0.561 0.765 0.908
V: 0.767 0.265 0.407
V: 0.439 0.235 0.092
V: 0.233 0.735 0.593
H: 0.385 0.487 0.316
H: 0.812 0.987 0.817
H: 0.188 0.013 0.183
H: 0.615 0.513 0.684
Rh: 0.913 0.750 0.250
Rh: 0.087 0.250 0.750

***

No. 7
Material: YTm4In2
Method: DFT, PBE-GGA
State: optimized geometry

Summary:
distance to the lowest polymorph of the same formula = 0 meV/atom
space-group type = Fmmm
formation enthalpy at 0 K = -0.10 eV per atom

Unit cell a=10.733 b=6.722 c=6.680 alpha=120.21 beta=90.00 gamma=90.00
Element x y z (fractional)
Y: 0.000 0.000 0.000
Y: 0.500 0.500 0.000
Tm: 0.832 0.500 0.000
Tm: 0.750 0.500 0.500
Tm: 0.750 0.000 0.500
Tm: 0.668 0.000 0.000
Tm: 0.332 0.000 0.000
Tm: 0.250 0.000 0.500
Tm: 0.250 0.500 0.500
Tm: 0.168 0.500 0.000
In: 0.000 0.723 0.445
In: 0.000 0.277 0.555
In: 0.500 0.777 0.555
In: 0.500 0.223 0.445

***

No. 8
Material: U3GaOs2
Method: DFT, PBE-GGA
State: optimized geometry

Summary:
space-group type = C2/c
formation enthalpy at 0 K = 0.03 eV per atom

Unit cell a=6.413 b=6.413 c=5.813 alpha=98.04 beta=98.04 gamma=95.18
Element x y z (fractional)
U: 0.724 0.654 0.433
U: 0.346 0.276 0.067
U: 0.276 0.346 0.567
U: 0.654 0.724 0.933
U: 0.737 0.263 0.250
U: 0.263 0.737 0.750
Ga: 0.042 0.958 0.250
Ga: 0.958 0.042 0.750
Os: 0.106 0.568 0.220
Os: 0.432 0.894 0.280
Os: 0.894 0.432 0.780
Os: 0.568 0.106 0.720

***

No. 9
Material: Cr4Mo5
Method: DFT, PBE-GGA
State: optimized geometry

Summary:
distance to the lowest polymorph of the same formula = 248 meV/atom
space-group type = P6_3/mcm
formation enthalpy at 0 K = 0.33 eV per atom

Unit cell a=7.625 b=7.625 c=5.124 alpha=90.00 beta=90.00 gamma=60.00
Element x y z (fractional)
Cr: 0.000 0.000 0.000
Cr: 0.000 0.000 0.500
Cr: 0.604 0.396 0.250
Cr: 0.000 0.604 0.250
Cr: 0.396 0.000 0.250
Cr: 0.396 0.604 0.750
Cr: 0.000 0.396 0.750
Cr: 0.604 0.000 0.750
Mo: 0.283 0.717 0.250
Mo: 0.000 0.283 0.250
Mo: 0.717 0.000 0.250
Mo: 0.717 0.283 0.750
Mo: 0.000 0.717 0.750
Mo: 0.283 0.000 0.750
Mo: 0.333 0.333 0.000
Mo: 0.667 0.667 0.500
Mo: 0.667 0.667 0.000
Mo: 0.333 0.333 0.500

***

No. 10
Material: Sc2CrSi
Method: DFT, PBE-GGA
State: optimized geometry

Summary:
space-group type = Amm2
formation energy (no corrections) = -0.2657 eV/atom

Unit cell a=4.128 b=3.444 c=5.470 alpha=71.69 beta=90.00 gamma=90.00
Element x y z (fractional)
Cr: 0.500 0.559 0.757
Sc: 0.000 0.975 0.925
Sc: 0.500 0.274 0.326
Si: 0.000 0.691 0.492

***

No. 11
Material: MoPdPt2
Method: DFT, PBE-GGA
State: optimized geometry

Summary:
distance to the lowest polymorph of the same formula = 164 meV/atom
space-group type = P2/m
formation enthalpy at 0 K = 0.06 eV per atom

Unit cell a=5.330 b=2.703 c=6.966 alpha=90.00 beta=139.78 gamma=90.00
Element x y z (fractional)
Mo: 0.000 0.000 0.000
Pd: 0.500 0.500 0.000
Pt: 0.753 0.000 0.499
Pt: 0.247 0.000 0.501

***

No. 12
Material: Ho3Si
Method: DFT, PBE-GGA
State: optimized geometry

Summary:
distance to the lowest polymorph of the same formula = 60 meV/atom
space-group type = P6_3/mmc
formation energy (no corrections) = -0.2477 eV/atom

Unit cell a=6.623 b=6.623 c=5.127 alpha=90.00 beta=90.00 gamma=120.00
Element x y z (fractional)
Ho: 0.177 0.353 0.250
Ho: 0.647 0.823 0.250
Ho: 0.177 0.823 0.250
Ho: 0.823 0.647 0.750
Ho: 0.823 0.177 0.750
Ho: 0.353 0.177 0.750
Si: 0.333 0.667 0.750
Si: 0.667 0.333 0.250

***

No. 13
Material: PrInSb
Method: DFT, PBE-GGA
State: optimized geometry

Summary:
space-group type = P3m1
formation energy (no corrections) = -0.4787 eV/atom

Unit cell a=4.082 b=5.031 c=5.031 alpha=120.00 beta=90.00 gamma=90.00
Element x y z (fractional)
Pr: 0.675 0.667 0.333
Sb: 0.208 0.333 0.667
In: 0.117 0.000 0.000

***

No. 14
Material: Pr6GaHg2
Method: DFT, PBE-GGA
State: optimized geometry

Summary:
distance to the lowest polymorph of the same formula = 0 meV/atom
space-group type = P-62m
formation enthalpy at 0 K = -0.31 eV per atom

Unit cell a=3.842 b=9.084 c=9.084 alpha=119.99 beta=90.00 gamma=90.00
Element x y z (fractional)
Pr: 0.500 0.396 0.396
Pr: 0.500 0.604 0.000
Pr: 0.500 0.000 0.604
Pr: 0.000 0.735 0.735
Pr: 0.000 0.265 0.000
Pr: 0.000 0.000 0.265
Ga: 0.500 0.000 0.000
Hg: 0.000 0.667 0.333
Hg: 0.000 0.333 0.667

***

No. 15
Material: Pm2Zn2GaPd5
Method: DFT, PBE-GGA
State: optimized geometry

Summary:
space-group type = P4/mbm
formation enthalpy at 0 K = -0.66 eV per atom

Unit cell a=3.725 b=9.866 c=9.866 alpha=90.00 beta=90.00 gamma=90.00
Element x y z (fractional)
Pm: 0.000 0.677 0.177
Pm: 0.000 0.323 0.823
Pm: 0.000 0.177 0.323
Pm: 0.000 0.823 0.677
Zn: 0.000 0.122 0.622
Zn: 0.000 0.878 0.378
Zn: 0.000 0.622 0.878
Zn: 0.000 0.378 0.122
Ga: 0.000 0.000 0.000
Ga: 0.000 0.500 0.500
Pd: 0.500 0.202 0.061
Pd: 0.500 0.798 0.939
Pd: 0.500 0.061 0.798
Pd: 0.500 0.702 0.439
Pd: 0.500 0.939 0.202
Pd: 0.500 0.298 0.561
Pd: 0.500 0.561 0.702
Pd: 0.500 0.439 0.298
Pd: 0.500 0.500 0.000
Pd: 0.500 0.000 0.500

***

No. 16
Material: Zr2Ti5Ir2Rh
Method: DFT, PBE-GGA
State: optimized geometry

Summary:
space-group type = P4/mbm
formation enthalpy at 0 K = -0.52 eV per atom

Unit cell a=3.124 b=10.692 c=10.692 alpha=90.00 beta=90.00 gamma=90.00
Element x y z (fractional)
Zr: 0.000 0.677 0.177
Zr: 0.000 0.323 0.823
Zr: 0.000 0.177 0.323
Zr: 0.000 0.823 0.677
Ti: 0.500 0.195 0.052
Ti: 0.500 0.805 0.948
Ti: 0.500 0.052 0.805
Ti: 0.500 0.695 0.448
Ti: 0.500 0.948 0.195
Ti: 0.500 0.305 0.552
Ti: 0.500 0.552 0.695
Ti: 0.500 0.448 0.305
Ti: 0.500 0.500 0.000
Ti: 0.500 0.000 0.500
Ir: 0.000 0.134 0.634
Ir: 0.000 0.866 0.366
Ir: 0.000 0.634 0.866
Ir: 0.000 0.366 0.134
Rh: 0.000 0.000 0.000
Rh: 0.000 0.500 0.500

***

No. 17
Material: SmAl4AgPd2
Method: DFT, PBE-GGA
State: optimized geometry

Summary:
space-group type = R-3m
formation enthalpy at 0 K = -0.56 eV per atom

Unit cell a=4.316 b=4.316 c=9.360 alpha=76.67 beta=76.67 gamma=60.00
Element x y z (fractional)
Sm: 0.000 0.000 0.000
Al: 0.402 0.402 0.795
Al: 0.874 0.874 0.379
Al: 0.126 0.126 0.621
Al: 0.598 0.598 0.205
Ag: 0.500 0.500 0.500
Pd: 0.762 0.762 0.715
Pd: 0.238 0.238 0.285

***

No. 18
Material: YTa2Zn
Method: DFT, PBE-GGA
State: optimized geometry

Summary:
space-group type = Cmm2
formation enthalpy at 0 K = 0.19 eV per atom

Unit cell a=2.964 b=2.964 c=9.333 alpha=90.00 beta=90.00 gamma=104.39
Element x y z (fractional)
Ta: 0.000 0.000 0.995
Ta: 0.500 0.500 0.228
Y: 0.000 0.000 0.507
Zn: 0.500 0.500 0.770

***

No. 19
Material: LiAg3Pd
Method: DFT, PBE-GGA
State: optimized geometry

Summary:
distance to the lowest polymorph of the same formula = 0 meV/atom
space-group type = P-1
formation enthalpy at 0 K = -0.16 eV per atom

Unit cell a=4.875 b=4.883 c=7.705 alpha=84.40 beta=108.30 gamma=107.20
Element x y z (fractional)
Li: 0.857 0.844 0.997
Li: 0.168 0.345 0.618
Ag: 0.563 0.344 0.409
Ag: 0.762 0.344 0.805
Ag: 0.067 0.844 0.416
Ag: 0.959 0.345 0.199
Ag: 0.462 0.845 0.205
Ag: 0.263 0.845 0.810
Pd: 0.363 0.345 0.007
Pd: 0.663 0.844 0.607

***

No. 20
Material: LaHgPt2
Method: DFT, PBE-GGA
State: optimized geometry

Summary:
space-group type = I-4m2
formation enthalpy at 0 K = -0.63 eV per atom

Unit cell a=5.608 b=5.608 c=5.608 alpha=135.85 beta=135.85 gamma=64.21
Element x y z (fractional)
Hg: 0.500 0.500 0.000
La: 0.750 0.250 0.500
Pt: 0.000 0.000 0.000
Pt: 0.250 0.750 0.500

***

No. 21
Material: SbOsCl2
Method: DFT, PBE-GGA
State: optimized geometry

Summary:
distance to the lowest polymorph of the same formula = 714 meV/atom
space-group type = I-4m2
formation energy (no corrections) = 0.7370 eV/atom

Unit cell a=4.614 b=4.614 c=4.614 alpha=114.32 beta=114.32 gamma=100.15
Element x y z (fractional)
Sb: 0.750 0.250 0.500
Os: 0.500 0.500 0.000
Cl: 0.000 0.000 0.000
Cl: 0.250 0.750 0.500

***

No. 22
Material: Re2PbCl
Method: DFT, PBE-GGA
State: optimized geometry

Summary:
distance to the lowest polymorph of the same formula = 169 meV/atom
space-group type = P4mm
formation energy (no corrections) = 0.3068 eV/atom

Unit cell a=3.009 b=3.009 c=9.182 alpha=90.00 beta=90.00 gamma=90.00
Element x y z (fractional)
Cl: 0.000 0.000 0.420
Pb: 0.500 0.500 0.801
Re: 0.000 0.000 0.058
Re: 0.500 0.500 0.221

***

No. 23
Material: SiIrS3
Method: DFT, PBE-GGA
State: optimized geometry

Summary:
distance to the lowest polymorph of the same formula = 0 meV/atom
space-group type = Pm-3m
formation energy (no corrections) = 0.7214 eV/atom

Unit cell a=4.643 b=4.643 c=4.643 alpha=90.00 beta=90.00 gamma=90.00
Element x y z (fractional)
S: 0.000 0.500 0.000
S: 0.000 0.000 0.500
S: 0.500 0.000 0.000
Ir: 0.000 0.000 0.000
Si: 0.500 0.500 0.500

***

No. 24
Material: CaBeTlMo2
Method: DFT, PBE-GGA
State: optimized geometry

Summary:
space-group type = P4/mmm
formation enthalpy at 0 K = 2.35 eV per atom

Unit cell a=4.726 b=4.660 c=4.726 alpha=90.00 beta=90.00 gamma=90.00
Element x y z (fractional)
Be: 0.000 0.500 0.000
Tl: 0.500 0.500 0.500
Ca: 0.000 0.000 0.000
Mo: 0.000 0.000 0.500
Mo: 0.500 0.000 0.000